# 1
A plane-wave DFT calculation with PBE was carried out for a relaxed structure of RePt2Br.

The calculated total energy comes out at -6.17 eV/atom. The uncorrected formation energy is 147 kJ/mol of formula units. The crystal system is orthorhombic. The value obtained for the size of the total moment is 0.000 μB/atom. The energy relative to the lowest polymorph listed for this composition is 155 meV/atom.

The structure belongs to space group Pmm2 (No. 25); the cell edges are 2.974, 3.609 and 6.996 Å and the angles 90.00°, 90.00° and 90.00°. Symmetry generates all atoms from Re at (0.000, 0.000, 0.000), Pt at (0.000, 0.000, 0.379), Pt at (0.500, 0.500, 0.170) and Br at (0.000, 0.500, 0.720).

---

# 2
A plane-wave DFT calculation with PBE was carried out for a relaxed structure of KTa2AgGe.

The formation energy comes out at 1.899 eV per atom. The calculated total energy comes out at -4.56 eV/atom. The crystal system is tetragonal. The value obtained for the size of the total moment is 0.270 μB/atom.

The structure belongs to space group P4/mmm (No. 123); the cell edges are 5.040, 5.040 and 5.462 Å and the angles 90.00°, 90.00° and 90.00°. Symmetry generates all atoms from K at (0.000, 0.000, 0.000), Ta at (0.000, 0.500, 0.500), Ag at (0.000, 0.000, 0.500) and Ge at (0.500, 0.500, 0.000).

---

> size of the total moment of number 1 (RePt2Br)?

0.000 μB/atom